BeFeN2O | GGA+U | optimized geometry

Cell: 3.332 3.332 5.047 Å, 90.00 90.00 90.00°
Positions (direct):
1 Be 0.000 0.000 0.000
2 Fe 0.000 0.000 0.500
3 N 0.000 0.500 0.500
4 N 0.500 0.000 0.500
5 O 0.500 0.500 0.000

Properties
E, eV per atom: -4.683
Symmetry: P4/mmm, No. 123
Crystal system: tetragonal